[1]
! NdCuPb2, relaxed, DFT GGA-PBE; values from VASP
&SYSTEM
  ibrav = 0, nat = 4, ntyp = 3
/
ATOMIC_SPECIES
Pb 207.20 Pb.upf
Nd 144.24 Nd.upf
Cu 63.55 Cu.upf
ATOMIC_POSITIONS crystal
Pb 0.000 0.000 0.500
Pb 0.000 0.500 0.000
Nd 0.500 0.500 0.500
Cu 0.500 0.000 0.000
CELL_PARAMETERS angstrom
-0.766 3.356 -3.031
-4.561 0.118 1.284
1.017 3.229 3.318
! Relative energy among the computed polymorphs = 0.000 eV per atom
! Formation enthalpy at 0 K = -0.2004 eV per atom


[2]
! Hf2NbIr2, relaxed, DFT GGA-PBE; values from VASP
&SYSTEM
  ibrav = 0, nat = 10, ntyp = 3
/
ATOMIC_SPECIES
Nb 92.91 Nb.upf
Ir 192.22 Ir.upf
Hf 178.49 Hf.upf
ATOMIC_POSITIONS crystal
Nb 0.000 0.000 0.000
Nb 0.500 0.500 0.000
Ir 0.366 0.866 0.000
Ir 0.866 0.634 0.000
Ir 0.634 0.134 0.000
Ir 0.134 0.366 0.000
Hf 0.164 0.664 0.500
Hf 0.664 0.836 0.500
Hf 0.836 0.336 0.500
Hf 0.336 0.164 0.500
CELL_PARAMETERS angstrom
7.659 0.000 0.000
0.000 7.659 0.000
0.000 0.000 3.139
! Relative energy among the computed polymorphs = 0.000 eV per atom
! Formation enthalpy at 0 K = -0.5581 eV per atom


[3]
! Na2YTlS4, relaxed, DFT GGA-PBE; values from VASP
&SYSTEM
  ibrav = 0, nat = 8, ntyp = 4
/
ATOMIC_SPECIES
Na 22.99 Na.upf
Y 88.91 Y.upf
Tl 204.38 Tl.upf
S 32.06 S.upf
ATOMIC_POSITIONS crystal
Na 0.500 0.000 0.500
Na 0.000 0.500 0.500
Y 0.500 0.500 0.000
Tl 0.000 0.000 0.000
S 0.500 0.238 0.225
S 0.500 0.762 0.775
S 0.000 0.265 0.766
S 0.000 0.735 0.234
CELL_PARAMETERS angstrom
-3.515 1.784 -0.263
-1.497 -3.774 -5.594
-2.197 -3.464 5.868
! E_form (uncorrected) = -1.162 eV/atom


[4]
! Tl4SeS, relaxed, DFT GGA-PBE; values from VASP
&SYSTEM
  ibrav = 0, nat = 6, ntyp = 3
/
ATOMIC_SPECIES
Tl 204.38 Tl.upf
Se 78.96 Se.upf
S 32.06 S.upf
ATOMIC_POSITIONS crystal
Tl 0.863 0.728 0.541
Tl 0.137 0.272 0.459
Tl 0.365 0.730 0.022
Tl 0.635 0.270 0.978
Se 0.500 0.000 0.500
S 0.000 0.000 0.000
CELL_PARAMETERS angstrom
4.387 -0.008 -0.002
-2.192 6.117 -3.679
0.001 -0.143 7.592
! Relative energy among the computed polymorphs = 0.000 eV per atom
! E_form (uncorrected) = -0.355 eV/atom


Number 1: E -17.08 eV per cell, density 10.026 g/cm3. Number 2: E -100.98 eV per cell, density 15.047 g/cm3. Number 3: E -37.28 eV per cell, density 4.211 g/cm3. Number 4: E -19.21 eV per cell, density 7.662 g/cm3.